The following is a DFT calculation (GGA-PBE) of a relaxed As2P2Au crystal.

Calculated values
DOS at the Fermi energy = 1.5 states/eV per cell
SG = No. 12
Formation energy from the elements = 0.3 eV/f.u.

a b c (Å): 6.4141 6.4140 4.7050
angles (deg): 47.92 47.92 71.48
Atoms (fractional coordinates):
P (0.6077, 0.6076, 0.6139)
As (0.7456, 0.2544, 0.5000)
P (0.3923, 0.3924, 0.3861)
Au (0.0000, 0.0000, 0.0000)
As (0.2544, 0.7456, 0.5000)